Version 1
16
Lattice="6.402 0.000 0.000 -3.201 5.544 0.000 0.000 0.000 10.151" Properties=species:S:1:pos:R:3 comment="YMg14W, optimized geometry, DFT PBE" magnetic_moment_mub_per_cell=0.6 spacegroup="No. 187" pbc="T T T"
Y 0.000 0.000 0.000
Mg -1.536 2.810 0.000
Mg 0.000 1.789 2.710
Mg 0.000 1.789 7.440
Mg -1.652 4.650 2.710
Mg -1.652 4.650 7.440
Mg 1.536 2.810 0.000
Mg 0.000 5.470 0.000
Mg 3.201 0.038 5.075
Mg 1.633 2.753 5.075
Mg 3.201 1.848 2.392
Mg 3.201 1.848 7.758
Mg 1.652 4.650 2.710
Mg 1.652 4.650 7.440
Mg 4.769 2.753 5.075
W 0.000 0.000 5.075

***

Version 2
16
Lattice="10.278 0.000 0.000 0.000 3.095 5.658 0.000 -3.095 5.658" Properties=species:S:1:pos:R:3 comment="YMg14W, optimized geometry, DFT PBE" magnetic_moment_mub_per_cell=0.2 spacegroup="No. 38" pbc="T T T"
Y 0.000 0.000 0.000
Mg 0.000 -1.512 2.825
Mg 0.000 1.512 2.825
Mg 2.357 0.000 7.278
Mg 2.518 -1.495 4.568
Mg 2.518 1.495 4.568
Mg 2.682 0.000 1.743
Mg 5.139 0.000 5.580
Mg 5.139 -1.525 8.400
Mg 5.139 0.000 11.180
Mg 5.139 1.525 8.400
Mg 7.596 0.000 1.743
Mg 7.760 -1.495 4.568
Mg 7.760 1.495 4.568
Mg 7.921 0.000 7.278
W 0.000 0.000 5.507

***

Going by the energies, version 2 is most stable and the next is 2.5 kJ/mol of atoms up.

***

Version 1
5
Lattice="4.874 0.000 0.000 0.000 4.874 0.000 0.000 0.000 4.874" Properties=species:S:1:pos:R:3 comment="YMgW3, optimized geometry, DFT PBE" magnetic_moment_mub_per_cell=0.0 spacegroup="No. 221" pbc="T T T"
Y 0.000 0.000 0.000
Mg 2.437 2.437 2.437
W 0.000 0.000 2.437
W 0.000 2.437 0.000
W 2.437 0.000 0.000

***

Version 2
5
Lattice="4.715 0.000 0.000 0.000 4.715 0.000 0.000 0.000 4.715" Properties=species:S:1:pos:R:3 comment="YMgW3, optimized geometry, DFT PBE" magnetic_moment_mub_per_cell=0.0 spacegroup="No. 221" pbc="T T T"
Y 0.000 0.000 0.000
Mg 2.358 2.358 2.358
W 0.000 2.358 2.358
W 2.358 0.000 2.358
W 2.358 2.358 0.000

***

Going by the energies, version 2 is most stable and the next is 71.1 kJ/mol of atoms up.

***

Version 1
4
Lattice="2.705 0.000 0.000 0.000 2.705 0.000 0.000 0.000 8.831" Properties=species:S:1:pos:R:3 comment="MgZnW2, optimized geometry, DFT PBE" magnetic_moment_mub_per_cell=0.0 spacegroup="No. 123" pbc="T T T"
Mg 0.000 0.000 0.000
Zn 0.000 0.000 4.415
W 1.352 1.352 2.319
W 1.352 1.352 6.512

***

Version 2
4
Lattice="2.695 0.000 0.000 0.000 4.468 0.000 0.000 0.000 5.369" Properties=species:S:1:pos:R:3 comment="MgZnW2, optimized geometry, DFT PBE" magnetic_moment_mub_per_cell=0.0 spacegroup="No. 47" pbc="T T T"
Mg 0.000 0.000 0.000
Zn 0.000 0.000 2.684
W 1.347 2.234 1.325
W 1.347 2.234 4.044

***

Going by the energies, version 1 is most stable and the next is 1.2 kJ/mol of atoms up.

***

Version 1
5
Lattice="-1.616 1.616 9.004 1.616 -1.616 9.004 1.616 1.616 -9.004" Properties=species:S:1:pos:R:3 comment="Mg2Zn2W, optimized geometry, DFT PBE" magnetic_moment_mub_per_cell=0.0 spacegroup="No. 139" pbc="T T T"
Mg 0.000 0.000 1.892
Mg 0.000 0.000 16.116
Zn 1.616 0.000 4.502
Zn 0.000 1.616 4.502
W 0.000 0.000 9.004

***

Version 2
10
Lattice="7.557 0.000 0.000 0.000 7.557 0.000 0.000 0.000 2.849" Properties=species:S:1:pos:R:3 comment="Mg2Zn2W, optimized geometry, DFT PBE" magnetic_moment_mub_per_cell=0.0 spacegroup="No. 127" pbc="T T T"
Mg 1.000 2.778 0.000
Mg 2.778 6.557 0.000
Mg 4.778 1.000 0.000
Mg 6.557 4.778 0.000
Zn 1.270 5.048 1.424
Zn 2.509 1.270 1.424
Zn 5.048 6.287 1.424
Zn 6.287 2.509 1.424
W 0.000 0.000 0.000
W 3.778 3.778 0.000

***

Going by the energies, version 2 is most stable and the next is 17.8 kJ/mol of atoms up.

***

Version 1
5
Lattice="4.719 0.000 0.000 0.000 4.719 0.000 0.000 0.000 4.719" Properties=species:S:1:pos:R:3 comment="Mg3ZnW, optimized geometry, DFT PBE" magnetic_moment_mub_per_cell=0.0 spacegroup="No. 221" pbc="T T T"
Mg 0.000 0.000 2.360
Mg 0.000 2.360 0.000
Mg 2.360 0.000 0.000
Zn 0.000 0.000 0.000
W 2.360 2.360 2.360

***

Version 2
5
Lattice="5.364 0.000 0.000 0.000 5.364 0.000 0.000 0.000 5.364" Properties=species:S:1:pos:R:3 comment="Mg3ZnW, optimized geometry, DFT PBE" magnetic_moment_mub_per_cell=3.5 spacegroup="No. 221" pbc="T T T"
Mg 0.000 0.000 2.682
Mg 0.000 2.682 0.000
Mg 2.682 0.000 0.000
Zn 2.682 2.682 2.682
W 0.000 0.000 0.000

***

Going by the energies, version 1 is most stable and the next is 15.2 kJ/mol of atoms up.

***

Version 1
5
Lattice="5.132 0.000 0.000 0.000 5.132 0.000 0.000 0.000 5.132" Properties=species:S:1:pos:R:3 comment="MgZr3W, optimized geometry, DFT PBE" magnetic_moment_mub_per_cell=0.0 spacegroup="No. 221" pbc="T T T"
Mg 0.000 0.000 0.000
Zr 0.000 2.566 2.566
Zr 2.566 0.000 2.566
Zr 2.566 2.566 0.000
W 2.566 2.566 2.566

***

Version 2
5
Lattice="4.915 0.000 0.000 0.000 4.915 0.000 0.000 0.000 4.915" Properties=species:S:1:pos:R:3 comment="MgZr3W, optimized geometry, DFT PBE" magnetic_moment_mub_per_cell=0.0 spacegroup="No. 221" pbc="T T T"
Mg 0.000 0.000 0.000
Zr 0.000 0.000 2.457
Zr 0.000 2.457 0.000
Zr 2.457 0.000 0.000
W 2.457 2.457 2.457

***

Going by the energies, version 1 is most stable and the next is 91.0 kJ/mol of atoms up.